1.
Ba2ZnAs2 | PBE | optimized geometry

Structure (POSCAR):
```
Ba2ZnAs2
1.0
9.0358 0.0000 0.0000
0.0000 9.7097 0.0000
-2.3397 0.0000 7.5427
Ba Zn As
8 4 8
Cartesian
-0.4346 1.4389 2.0530
-1.6045 3.4160 5.8244
3.9286 6.4189 0.7562
2.7588 8.1456 4.5276
3.9374 1.5641 3.0151
2.7675 3.2907 6.7865
8.3006 6.2937 1.7183
7.1307 8.2708 5.4897
0.3373 0.3430 7.2744
1.5071 4.5118 3.5031
5.1890 5.1979 4.0396
6.3588 9.3667 0.2683
0.5139 5.8628 5.1429
1.6838 8.7018 1.3715
0.7716 1.1032 5.0998
1.9414 3.7516 1.3284
4.7547 5.9580 6.2143
5.9245 8.6065 2.4429
5.0123 1.0079 6.1712
6.1822 3.8469 2.3998
```

Properties
final energy = -3.746 eV/atom
symmetry = P2_1/c, No. 14


2.
BaZrAs | PBE | optimized geometry

Structure (POSCAR):
```
BaZrAs
1.0
7.4506 0.0000 0.0000
0.0000 7.4506 0.0000
0.0000 0.0000 7.4506
Ba Zr As
4 4 4
Cartesian
0.0000 0.0000 0.0000
0.0000 3.7253 3.7253
3.7253 0.0000 3.7253
3.7253 3.7253 0.0000
1.8626 1.8626 1.8626
1.8626 5.5879 5.5879
5.5879 1.8626 5.5879
5.5879 5.5879 1.8626
1.8626 1.8626 5.5879
1.8626 5.5879 1.8626
5.5879 1.8626 1.8626
5.5879 5.5879 5.5879
```

Properties
final energy = -4.206 eV/atom
symmetry = F-43m, No. 216